## A
{
  "formula": "Cd3ReAs",
  "functional": "GGA-PBE",
  "state": "relaxed",
  "lattice_angstrom": [[5.1578, 0.0000, 0.0000], [0.0000, 5.1578, 0.0000], [0.0000, 0.0000, 5.1578]],
  "species": ["Cd", "Cd", "Cd", "Re", "As"],
  "fractional_positions": [[0.0000, 0.0000, 0.5000], [0.0000, 0.5000, 0.0000], [0.5000, 0.0000, 0.0000], [0.5000, 0.5000, 0.5000], [0.0000, 0.0000, 0.0000]],
  "total_magnetization_mub_per_cell": 3.705
}

---

## B
{
  "formula": "Cd3ReAs",
  "functional": "GGA-PBE",
  "state": "relaxed",
  "lattice_angstrom": [[5.2500, 0.0000, 0.0000], [0.0000, 5.2500, 0.0000], [0.0000, 0.0000, 5.2500]],
  "species": ["Cd", "Cd", "Cd", "Re", "As"],
  "fractional_positions": [[0.0000, 0.0000, 0.5000], [0.0000, 0.5000, 0.0000], [0.5000, 0.0000, 0.0000], [0.0000, 0.0000, 0.0000], [0.5000, 0.5000, 0.5000]],
  "total_magnetization_mub_per_cell": 2.230
}

---

Calculated relative energies: A 119; B 0, given in meV/atom